No. 1
A plane-wave DFT calculation with PBE was carried out for a relaxed structure of Dy4AlCu2.

a = 8.8884 Å, b = 8.8884 Å, c = 8.8884 Å
α = 32.04°, β = 32.04°, γ = 32.04°
Positions (direct):
Dy (0.1211, 0.1211, 0.1211)
Dy (0.2919, 0.2919, 0.2919)
Dy (0.7081, 0.7081, 0.7081)
Dy (0.8789, 0.8789, 0.8789)
Al (0.5000, 0.5000, 0.5000)
Cu (0.4045, 0.4045, 0.4045)
Cu (0.5955, 0.5955, 0.5955)

## Properties
* crystal system: trigonal
* DFT formation energy: -9.3 kJ per mole of atoms
* ΔE to the lowest computed polymorph: 0.0655 eV/atom
* symmetry: R-3m, No. 166

---

No. 2
A plane-wave DFT calculation with PBE was carried out for a relaxed structure of TbCeZnN3.

a = 7.1711 Å, b = 3.4151 Å, c = 7.4037 Å
α = 90.00°, β = 98.26°, γ = 90.00°
Positions (direct):
Tb (0.1757, 0.2500, 0.1413)
Tb (0.8243, 0.7500, 0.8587)
Ce (0.1961, 0.2500, 0.6801)
Ce (0.8039, 0.7500, 0.3199)
Zn (0.4038, 0.7500, 0.3986)
Zn (0.5962, 0.2500, 0.6014)
N (0.1238, 0.7500, 0.3665)
N (0.1499, 0.7500, 0.9006)
N (0.4700, 0.7500, 0.6860)
N (0.5300, 0.2500, 0.3140)
N (0.8501, 0.2500, 0.0994)
N (0.8762, 0.2500, 0.6335)

## Properties
* crystal system: monoclinic
* formation energy from raw total energies: -931 meV per atom
* symmetry: P2_1/m, No. 11

---

No. 3
A plane-wave DFT calculation with PBE was carried out for a relaxed structure of Np2VTc.

a = 3.4247 Å, b = 3.4247 Å, c = 5.9553 Å
α = 90.00°, β = 90.00°, γ = 90.00°
Positions (direct):
Np (0.0000, 0.0000, 0.2048)
Np (0.0000, 0.0000, 0.7952)
V (0.5000, 0.5000, 0.0000)
Tc (0.5000, 0.5000, 0.5000)

## Properties
* crystal system: tetragonal
* DFT formation energy: 50.8 kJ per mole of atoms
* ΔE to the lowest computed polymorph: 0.1084 eV/atom
* symmetry: P4/mmm, No. 123

---

no.,VASP energy (eV per formula unit)
1,-31.0
2,-42.4
3,-43.3